This record from the Alexandria database describes SmPaIr after structural relaxation. The functional is GGA-PBE. Values from VASP.

```
&SYSTEM
  ibrav = 0, nat = 6, ntyp = 3
/
ATOMIC_SPECIES
Sm 150.36 Sm.upf
Pa 231.04 Pa.upf
Ir 192.22 Ir.upf
CELL_PARAMETERS angstrom
4.838 0.000 0.000
0.000 4.239 0.000
-0.280 0.000 7.407
ATOMIC_POSITIONS angstrom
Sm 1.162 1.060 0.934
Sm 3.396 3.179 6.473
Pa 1.287 3.179 3.785
Pa 3.271 1.060 3.622
Ir 0.496 1.060 5.412
Ir 4.062 3.179 1.995
```

## Properties
- calculated formation energy (eV/f.u.) = -1.64

***

This record from the Alexandria database describes TmNb2S5 after structural relaxation. The functional is GGA-PBE. Values from VASP.

```
&SYSTEM
  ibrav = 0, nat = 8, ntyp = 3
/
ATOMIC_SPECIES
Tm 168.93 Tm.upf
Nb 92.91 Nb.upf
S 32.06 S.upf
CELL_PARAMETERS angstrom
2.790 -6.066 0.000
2.790 6.066 0.000
-0.145 0.000 6.618
ATOMIC_POSITIONS angstrom
Tm 0.000 0.000 0.000
Nb 2.790 2.515 0.000
Nb 2.790 -2.515 0.000
S 1.787 4.006 5.021
S 3.647 4.006 1.597
S 2.790 0.000 0.000
S 1.787 -4.006 5.021
S 3.647 -4.006 1.597
```

## Properties
- raw formation energy (kJ per mole of atoms) = -107.4

***

This record from the Alexandria database describes ZnAgCl2 after structural relaxation. The functional is GGA-PBE. Values from VASP.

```
&SYSTEM
  ibrav = 0, nat = 4, ntyp = 3
/
ATOMIC_SPECIES
Zn 65.41 Zn.upf
Ag 107.87 Ag.upf
Cl 35.45 Cl.upf
CELL_PARAMETERS angstrom
0.000 3.429 3.444
3.419 0.000 3.444
3.419 3.429 0.000
ATOMIC_POSITIONS angstrom
Zn 0.000 0.000 0.000
Ag 3.419 3.429 3.444
Cl 1.709 1.715 1.722
Cl 5.128 5.144 5.166
```

## Properties
- raw formation energy (kJ per mole of atoms) = -15.3

***

This record from the Alexandria database describes LiTaSeN2 after structural relaxation. The functional is GGA-PBE. Values from VASP.

```
&SYSTEM
  ibrav = 0, nat = 5, ntyp = 4
/
ATOMIC_SPECIES
Li 6.94 Li.upf
Ta 180.95 Ta.upf
Se 78.96 Se.upf
N 14.01 N.upf
CELL_PARAMETERS angstrom
3.735 0.000 0.000
0.000 3.735 0.000
0.000 0.000 4.313
ATOMIC_POSITIONS angstrom
Li 0.000 0.000 0.000
Ta 1.867 1.867 2.157
Se 0.000 0.000 2.157
N 0.000 1.867 0.000
N 1.867 0.000 0.000
```

## Properties
- raw formation energy (kJ per mole of atoms) = 128.3

***

This record from the Alexandria database describes Pm3Al2SbPt9 after structural relaxation. The functional is GGA-PBE. Values from VASP.

```
&SYSTEM
  ibrav = 0, nat = 15, ntyp = 4
/
ATOMIC_SPECIES
Pm 145.00 Pm.upf
Al 26.98 Al.upf
Sb 121.76 Sb.upf
Pt 195.08 Pt.upf
CELL_PARAMETERS angstrom
6.595 0.000 0.000
-3.298 5.712 0.000
0.000 0.000 9.060
ATOMIC_POSITIONS angstrom
Pm 0.000 0.000 0.000
Pm 0.000 3.808 6.715
Pm 3.298 1.904 2.345
Al 0.000 3.808 1.627
Al 3.298 1.904 7.433
Sb 0.000 0.000 4.530
Pt -1.649 2.856 0.000
Pt 0.000 1.609 2.425
Pt -1.904 4.907 2.425
Pt 1.393 0.804 6.635
Pt 3.298 0.000 0.000
Pt 1.649 2.856 0.000
Pt 1.904 4.907 2.425
Pt 5.202 0.804 6.635
Pt 3.298 4.103 6.635
```

## Properties
- raw formation energy (kJ per mole of atoms) = -62.3

***

This record from the Alexandria database describes LaNd4Cd after structural relaxation. The functional is GGA-PBE. Values from VASP.

```
&SYSTEM
  ibrav = 0, nat = 12, ntyp = 3
/
ATOMIC_SPECIES
La 138.91 La.upf
Nd 144.24 Nd.upf
Cd 112.41 Cd.upf
CELL_PARAMETERS angstrom
2.507 -7.647 0.000
2.507 7.647 0.000
0.000 0.000 10.233
ATOMIC_POSITIONS angstrom
La 2.507 5.028 5.116
La 2.507 -5.028 0.000
Nd 2.507 7.584 2.544
Nd 2.507 5.060 10.171
Nd 2.507 2.596 2.533
Nd 2.507 0.038 5.106
Nd 2.507 -0.038 10.222
Nd 2.507 -2.596 7.649
Nd 2.507 -5.060 5.055
Nd 2.507 -7.584 7.661
Cd 2.507 2.526 7.649
Cd 2.507 -2.526 2.532
```

## Properties
- calculated formation energy (eV/f.u.) = -0.34

***

This record from the Alexandria database describes MnAlP2 after structural relaxation. The functional is GGA-PBE. Values from VASP.

```
&SYSTEM
  ibrav = 0, nat = 4, ntyp = 3
/
ATOMIC_SPECIES
Mn 54.94 Mn.upf
Al 26.98 Al.upf
P 30.97 P.upf
CELL_PARAMETERS angstrom
3.719 -1.528 0.000
3.719 1.528 0.000
-0.559 0.000 4.670
ATOMIC_POSITIONS angstrom
Mn 0.000 0.000 0.000
Al 3.439 0.000 2.335
P 1.583 0.000 3.746
P 5.295 0.000 0.924
```

## Properties
- calculated formation energy (eV/f.u.) = -0.31

***

This record from the Alexandria database describes Tb2TmHg4 after structural relaxation. The functional is GGA-PBE. Values from VASP.

```
&SYSTEM
  ibrav = 0, nat = 7, ntyp = 3
/
ATOMIC_SPECIES
Tb 158.93 Tb.upf
Tm 168.93 Tm.upf
Hg 200.59 Hg.upf
CELL_PARAMETERS angstrom
-2.784 2.784 7.655
2.784 -2.784 7.655
2.784 2.784 -7.655
ATOMIC_POSITIONS angstrom
Tb 0.000 0.000 1.593
Tb 0.000 0.000 13.716
Tm 0.000 0.000 7.655
Hg 2.784 0.000 0.000
Hg 0.000 0.000 4.652
Hg 0.000 2.784 0.000
Hg 0.000 0.000 10.658
```

## Properties
- calculated formation energy (eV/f.u.) = 0.08

***

This record from the Alexandria database describes CaTh2N after structural relaxation. The functional is GGA-PBE. Values from VASP.

```
&SYSTEM
  ibrav = 0, nat = 4, ntyp = 3
/
ATOMIC_SPECIES
Ca 40.08 Ca.upf
Th 232.04 Th.upf
N 14.01 N.upf
CELL_PARAMETERS angstrom
1.791 1.034 9.994
-1.791 1.034 9.994
0.000 -2.069 9.994
ATOMIC_POSITIONS angstrom
Ca 0.000 0.000 0.000
Th 0.000 0.000 3.541
Th 0.000 0.000 26.440
N 0.000 0.000 14.990
```

## Properties
- raw formation energy (kJ per mole of atoms) = -45.1

***

This record from the Alexandria database describes Sn5GeTe7 after structural relaxation. The functional is GGA-PBE. Values from VASP.

```
&SYSTEM
  ibrav = 0, nat = 26, ntyp = 3
/
ATOMIC_SPECIES
Sn 118.71 Sn.upf
Ge 72.64 Ge.upf
Te 127.60 Te.upf
CELL_PARAMETERS angstrom
7.447 -2.204 0.000
7.447 2.204 0.000
-0.431 0.000 25.861
ATOMIC_POSITIONS angstrom
Sn 0.000 0.000 0.000
Sn -0.232 0.000 16.951
Sn 3.903 0.000 14.926
Sn 4.172 0.000 2.002
Sn 8.023 0.000 12.905
Sn 8.335 0.000 4.011
Sn 10.298 0.000 18.813
Sn 10.290 0.000 24.083
Sn 12.378 0.000 11.027
Sn 12.503 0.000 5.802
Ge 1.681 0.000 9.255
Ge 6.116 0.000 20.608
Te 0.975 0.000 19.760
Te 0.946 0.000 23.188
Te 2.599 0.000 11.975
Te 2.817 0.000 4.863
Te 5.203 0.000 17.890
Te 5.098 0.000 24.987
Te 6.821 0.000 10.087
Te 6.968 0.000 6.696
Te 9.275 0.000 15.803
Te 9.551 0.000 1.101
Te 10.795 0.000 8.476
Te 11.879 0.000 21.364
Te 13.413 0.000 14.039
Te 13.677 0.000 2.929
```

## Properties
- raw formation energy (kJ per mole of atoms) = -19.4

***

This record from the Alexandria database describes CePr3Pb5 after structural relaxation. The functional is GGA-PBE. Values from VASP.

```
&SYSTEM
  ibrav = 0, nat = 18, ntyp = 3
/
ATOMIC_SPECIES
Ce 140.12 Ce.upf
Pr 140.91 Pr.upf
Pb 207.20 Pb.upf
CELL_PARAMETERS angstrom
9.847 0.000 0.000
-4.923 8.528 0.000
0.000 0.000 6.629
ATOMIC_POSITIONS angstrom
Ce 0.000 0.000 0.000
Ce 0.000 0.000 3.314
Pr -1.864 3.229 1.657
Pr -3.059 5.299 4.972
Pr 3.728 0.000 1.657
Pr 1.864 3.229 4.972
Pr 6.119 0.000 4.972
Pr 3.059 5.299 1.657
Pb -1.426 2.471 4.972
Pb -3.497 6.057 1.657
Pb 2.853 0.000 4.972
Pb 1.426 2.471 1.657
Pb 0.000 5.685 0.000
Pb 0.000 5.685 3.314
Pb 4.923 2.843 0.000
Pb 4.923 2.843 3.314
Pb 6.994 0.000 1.657
Pb 3.497 6.057 4.972
```

## Properties
- calculated formation energy (eV/f.u.) = -4.14

***

This record from the Alexandria database describes CsBRh2Se after structural relaxation. The functional is GGA-PBE. Values from VASP.

```
&SYSTEM
  ibrav = 0, nat = 5, ntyp = 4
/
ATOMIC_SPECIES
Cs 132.91 Cs.upf
B 10.81 B.upf
Rh 102.91 Rh.upf
Se 78.96 Se.upf
CELL_PARAMETERS angstrom
4.264 0.000 0.000
0.000 4.264 0.000
0.000 0.000 5.915
ATOMIC_POSITIONS angstrom
Cs 0.000 0.000 0.000
B 0.000 0.000 2.957
Rh 0.000 2.132 2.957
Rh 2.132 0.000 2.957
Se 2.132 2.132 0.000
```

## Properties
- raw formation energy (kJ per mole of atoms) = 69.5

***

Which D(E_F) belongs to each record? In order, 1.248; 0.401; 0.448; 0.744; 0.512; 1.257; 0.524; 0.939; 1.320; 0.482; 1.385; 1.130 states/eV per atom.
Which final energy belongs to each record? In order, -8.239; -6.769; -2.113; -5.451; -5.994; -4.209; -6.011; -2.123; -6.759; -3.788; -4.772; -4.423 eV/atom.